Model i:
Material: ScCrCo
Method: DFT, PBE-GGA
State: relaxed

Geometry as POSCAR:
```
ScCrCo
1.0
0.0000 2.9442 2.9442
2.9442 0.0000 2.9442
2.9442 2.9442 0.0000
Sc Cr Co
1 1 1
Cartesian
0.0000 0.0000 0.0000 Sc
2.9442 2.9442 2.9442 Cr
1.4721 1.4721 1.4721 Co
```

Results
total magnetic moment: 3.0 μB per formula unit
theoretical density: 5.071 g/cm3

---

Model ii:
Material: ScCrCo
Method: DFT, PBE-GGA
State: relaxed

Geometry as POSCAR:
```
ScCrCo
1.0
4.1040 0.0000 0.0000
-2.0520 3.5541 0.0000
0.0000 0.0000 3.1844
Sc Cr Co
1 1 1
Cartesian
0.0000 0.0000 0.0000 Sc
0.0000 2.3694 1.5922 Cr
2.0520 1.1847 1.5922 Co
```

Results
total magnetic moment: 2.9 μB per formula unit
theoretical density: 5.573 g/cm3

---

Model iii:
Material: ScCrCo
Method: DFT, PBE-GGA
State: relaxed

Geometry as POSCAR:
```
ScCrCo
1.0
2.8791 0.0000 0.0000
-1.4396 2.4934 0.0000
0.0000 0.0000 6.0992
Sc Cr Co
1 1 1
Cartesian
0.0000 0.0000 0.0000 Sc
0.0000 1.6623 3.8457 Cr
1.4396 0.8311 2.2076 Co
```

Results
total magnetic moment: 0.0 μB per formula unit
theoretical density: 5.912 g/cm3

---

model ii is preferred energetically. Next in line: 0.176 eV/atom higher.

---

Model i:
Material: ScCr2Co
Method: DFT, PBE-GGA
State: relaxed

Geometry as POSCAR:
```
ScCr2Co
1.0
0.0000 3.0306 3.0306
3.0306 0.0000 3.0306
3.0306 3.0306 0.0000
Sc Cr Co
1 2 1
Cartesian
0.0000 0.0000 0.0000 Sc
1.5153 1.5153 1.5153 Cr
3.0306 3.0306 3.0306 Cr
4.5458 4.5458 4.5458 Co
```

Results
total magnetic moment: 0.4 μB per formula unit
theoretical density: 6.201 g/cm3

---

Model ii:
Material: ScCr2Co
Method: DFT, PBE-GGA
State: relaxed

Geometry as POSCAR:
```
ScCr2Co
1.0
3.0039 0.0000 0.0000
0.0000 3.0039 0.0000
0.0000 0.0000 6.1190
Sc Cr Co
1 2 1
Cartesian
0.0000 0.0000 0.0000 Sc
0.0000 0.0000 3.0418 Cr
1.5020 1.5020 4.2075 Cr
1.5020 1.5020 1.5372 Co
```

Results
total magnetic moment: 0.4 μB per formula unit
theoretical density: 6.252 g/cm3

---

model ii is preferred energetically. Next in line: 0.011 eV/atom higher.

---

Model i:
Material: ScCr2Co
Method: DFT, PBE-GGA
State: relaxed

Geometry as POSCAR:
```
ScCr2Co
1.0
2.6421 0.0000 0.0000
0.0000 4.4067 0.0000
-0.9886 0.0000 4.5622
Sc Cr Co
1 2 1
Cartesian
0.0000 0.0000 0.0000 Sc
-0.0205 2.2033 3.4164 Cr
1.6740 2.2033 1.1458 Cr
0.8267 0.0000 2.2811 Co
```

Results
total magnetic moment: 0.0 μB per formula unit
theoretical density: 6.499 g/cm3

---

Model ii:
Material: ScCr2Co
Method: DFT, PBE-GGA
State: relaxed

Geometry as POSCAR:
```
ScCr2Co
1.0
4.6426 -1.5416 0.0000
4.6426 1.5416 0.0000
-2.0825 0.0000 3.8887
Sc Cr Co
1 2 1
Cartesian
0.0000 0.0000 0.0000 Sc
3.5954 0.0000 1.9412 Cr
6.6303 0.0000 1.0794 Cr
0.6850 0.0000 2.8765 Co
```

Results
total magnetic moment: 1.2 μB per formula unit
theoretical density: 6.202 g/cm3

---

Model iii:
Material: ScCr2Co
Method: DFT, PBE-GGA
State: relaxed

Geometry as POSCAR:
```
ScCr2Co
1.0
3.1125 0.0000 0.0000
0.0000 4.0281 0.0000
0.0000 0.0000 4.4626
Sc Cr Co
1 2 1
Cartesian
0.0000 0.0000 0.0000 Sc
0.0000 2.0141 2.2313 Cr
1.5562 0.0000 2.2313 Cr
1.5562 2.0141 0.0000 Co
```

Results
total magnetic moment: 0.3 μB per formula unit
theoretical density: 6.170 g/cm3

---

Model iv:
Material: ScCr2Co
Method: DFT, PBE-GGA
State: relaxed

Geometry as POSCAR:
```
ScCr2Co
1.0
2.7172 0.0000 0.0000
0.0000 3.7740 0.0000
-1.2696 0.0000 5.3150
Sc Cr Co
1 2 1
Cartesian
0.0000 0.0000 0.0000 Sc
-0.0975 1.8870 3.6652 Cr
0.6184 0.0000 2.6683 Cr
1.5459 1.8870 1.4423 Co
```

Results
total magnetic moment: 0.0 μB per formula unit
theoretical density: 6.333 g/cm3

---

model iii is preferred energetically. Next in line: 0.105 eV/atom higher.